Entry 1:
Here is crystalline AgAsPb3 at its relaxed geometry from the Alexandria database. Energies are from GGA-PBE.

CIF file:
```
data_AgAsPb3
_cell_length_a 5.6091
_cell_length_b 5.6091
_cell_length_c 5.6091
_cell_angle_alpha 90.00
_cell_angle_beta 90.00
_cell_angle_gamma 90.00
_space_group_name_H-M_alt 'P 1'
_space_group_IT_number 1
_space_group_name_Hall 'P 1'
loop_
_atom_site_label
_atom_site_fract_x
_atom_site_fract_y
_atom_site_fract_z
Pb1 0.5000 0.0000 0.0000
Pb2 0.0000 0.5000 0.0000
Pb3 0.0000 0.0000 0.5000
As1 0.0000 0.0000 0.0000
Ag1 0.5000 0.5000 0.5000
```

Calculated values
DOS(E_F)   0.776 states/eV/atom
Formation energy   0.54 eV/atom
Space-group type   Pm-3m, No. 221
Relative energy among the computed polymorphs   23 meV/atom
Electronic total energy   -3.19 eV/atom


Entry 2:
Here is crystalline Ba2MgSe at its relaxed geometry from the Alexandria database. Energies are from GGA-PBE.

CIF file:
```
data_Ba2MgSe
_cell_length_a 4.9070
_cell_length_b 4.9070
_cell_length_c 6.9801
_cell_angle_alpha 90.00
_cell_angle_beta 90.00
_cell_angle_gamma 90.00
_space_group_name_H-M_alt 'P 1'
_space_group_IT_number 1
_space_group_name_Hall 'P 1'
loop_
_atom_site_label
_atom_site_fract_x
_atom_site_fract_y
_atom_site_fract_z
Se1 0.5000 0.5000 0.8755
Ba1 0.0000 0.0000 0.8746
Ba2 0.5000 0.5000 0.3752
Mg1 0.0000 0.0000 0.3746
```

Calculated values
DOS(E_F)   0.797 states/eV/atom
Space-group type   P4mm, No. 99
Relative energy among the computed polymorphs   149 meV/atom
Formation energy (no corrections)   -0.729 eV per atom
Electronic total energy   -2.96 eV/atom


Entry 3:
Here is crystalline Be2OsRu at its relaxed geometry from the Alexandria database. Energies are from GGA-PBE.

CIF file:
```
data_Be2OsRu
_cell_length_a 3.9793
_cell_length_b 3.9793
_cell_length_c 2.7646
_cell_angle_alpha 90.00
_cell_angle_beta 90.00
_cell_angle_gamma 90.00
_space_group_name_H-M_alt 'P 1'
_space_group_IT_number 1
_space_group_name_Hall 'P 1'
loop_
_atom_site_label
_atom_site_fract_x
_atom_site_fract_y
_atom_site_fract_z
Ru1 0.0000 0.5000 0.5000
Be1 0.5000 0.5000 0.0000
Be2 0.0000 0.0000 0.0000
Os1 0.5000 0.0000 0.5000
```

Calculated values
DOS(E_F)   1.114 states/eV/atom
Formation energy   -0.12 eV/atom
Space-group type   P4/mmm, No. 123
Relative energy among the computed polymorphs   114 meV/atom
Electronic total energy   -7.10 eV/atom